VASP calculation (PBE) on a relaxed ZrOs2Ru crystal.

Theoretical density in g/cm3: 14.97
Energy above the lowest structure with this stoichiometry in meV/atom: 49
Calculated formation energy in eV per atom: -0.008
Energy in eV/atom: -10.078
Calculated volume in Å³ per atom: 15.89

Lattice parameters (Å, degrees): 4.9037 4.9037 4.8442 80.11 80.11 33.68
Last column: nearest neighbours and their distance in Å.
Element x y z (fractional)
Os (0.0113, 0.0113, 0.9739)  4 Os 2.63-2.84, 3 Ru 2.71-2.85, 3 Zr 2.81-2.94
Os (0.4887, 0.4887, 0.5261)  4 Os 2.63-2.84, 3 Ru 2.71-2.85, 3 Zr 2.81-2.94
Ru (0.7500, 0.7500, 0.7500)  6 Os 2.71-2.85, 4 Zr 2.81, 2 Ru 2.84
Zr (0.2500, 0.2500, 0.2500)  4 Ru 2.81, 6 Os 2.81-2.94, 2 Zr 2.84

***

VASP calculation (PBE) on a relaxed Cd2SiO crystal.

Theoretical density in g/cm3: 6.47
Energy above the lowest structure with this stoichiometry in meV/atom: 490
Energy in eV/atom: -2.655
Calculated volume in Å³ per atom: 17.24
Raw formation energy in eV per atom: 0.3981

Lattice parameters (Å, degrees): 4.6034 4.6034 4.6034 60.00 60.00 60.00
Last column: nearest neighbours and their distance in Å.
Element x y z (fractional)
Si (0.5000, 0.5000, 0.5000)  8 Cd 2.82
O (0.0000, 0.0000, 0.0000)  8 Cd 2.82
Cd (0.2500, 0.2500, 0.2500)  4 O 2.82, 4 Si 2.82
Cd (0.7500, 0.7500, 0.7500)  4 O 2.82, 4 Si 2.82

***

VASP calculation (PBE) on a relaxed Tl5SiSe4I2 crystal.

Theoretical density in g/cm3: 6.19
Energy in eV/atom: -3.326
Calculated volume in Å³ per atom: 36.19
Raw formation energy in eV per atom: -0.4682

Lattice parameters (Å, degrees): 9.1261 6.7526 9.5608 90.00 90.00 132.51
Last column: nearest neighbours and their distance in Å.
Element x y z (fractional)
Tl (0.1324, 0.3736, 0.2209)  3 Se 3.20-3.23, 1 I 3.54
Tl (0.4361, 0.0000, 0.5000)  2 Se 3.11, 4 I 3.29-3.46
Tl (0.1324, 0.3736, 0.7791)  3 Se 3.20-3.23, 1 I 3.54
Tl (0.7588, 0.6264, 0.7791)  3 Se 3.20-3.23, 1 I 3.54
Tl (0.7588, 0.6264, 0.2209)  3 Se 3.20-3.23, 1 I 3.54
Si (0.3466, 0.0000, 0.0000)  4 Se 2.28-2.32
Se (0.5137, 0.0000, 0.1835)  1 Si 2.32
Se (0.5137, 0.0000, 0.8165)  1 Si 2.32
Se (0.4073, 0.3873, 0.0000)  1 Si 2.28
Se (0.0201, 0.6127, 0.0000)  1 Si 2.28
I (0.9483, 0.5110, 0.5000)  6 Tl 3.29-3.59
I (0.4374, 0.4890, 0.5000)  6 Tl 3.29-3.59

***

VASP calculation (PBE) on a relaxed TbTeRh2 crystal.

Theoretical density in g/cm3: 10.73
Energy above the lowest structure with this stoichiometry in meV/atom: 7
Energy in eV/atom: -6.231
Calculated volume in Å³ per atom: 19.04
Raw formation energy in eV per atom: -0.6118

Lattice parameters (Å, degrees): 3.8445 4.4510 4.4510 90.00 90.00 90.00
Last column: nearest neighbours and their distance in Å.
Element x y z (fractional)
Rh (0.0000, 0.0000, 0.5000)  4 Tb 2.94, 4 Te 2.94, 4 Rh 3.15
Rh (0.0000, 0.5000, 0.0000)  4 Te 2.94, 4 Tb 2.94, 4 Rh 3.15
Te (0.5000, 0.5000, 0.5000)  8 Rh 2.94, 4 Tb 3.15
Tb (0.5000, 0.0000, 0.0000)  8 Rh 2.94, 4 Te 3.15

***

VASP calculation (PBE) on a relaxed GdPuTl crystal.

Theoretical density in g/cm3: 12.33
Energy above the lowest structure with this stoichiometry in meV/atom: 102
Calculated formation energy in eV per atom: 0.078
Energy in eV/atom: -10.181
Calculated volume in Å³ per atom: 27.19

Lattice parameters (Å, degrees): 3.2480 5.3846 5.3846 120.00 90.00 90.00
Last column: nearest neighbours and their distance in Å.
Element x y z (fractional)
Tl (0.0000, 0.0000, 0.0000)  2 Tl 3.25, 6 Gd 3.51, 6 Pu 3.51
Gd (0.5004, 0.3333, 0.6667)  3 Pu 3.11, 2 Gd 3.25
Pu (0.4996, 0.6667, 0.3333)  3 Gd 3.11, 2 Pu 3.25

***

VASP calculation (PBE) on a relaxed Ho3TlCu crystal.

Theoretical density in g/cm3: 9.20
Calculated formation energy in eV per atom: -0.126
Energy in eV/atom: -4.165
Calculated volume in Å³ per atom: 27.54

Lattice parameters (Å, degrees): 7.6006 8.5535 8.5535 82.03 90.01 90.01
Last column: nearest neighbours and their distance in Å.
Element x y z (fractional)
Ho (0.5940, 0.7958, 0.9777)  2 Cu 2.84-2.90, 1 Tl 3.13
Ho (0.9060, 0.0223, 0.2042)  2 Cu 2.84-2.90, 1 Tl 3.13
Ho (0.4060, 0.2042, 0.0223)  2 Cu 2.84-2.90, 1 Tl 3.13
Ho (0.0940, 0.9777, 0.7958)  2 Cu 2.84-2.90, 1 Tl 3.13
Ho (0.7906, 0.4278, 0.0722)  3 Cu 2.83-3.06
Ho (0.7094, 0.9278, 0.5722)  3 Cu 2.83-3.06
Ho (0.2094, 0.5722, 0.9278)  3 Cu 2.83-3.06
Ho (0.2906, 0.0722, 0.4278)  3 Cu 2.83-3.06
Ho (0.5940, 0.5223, 0.7043)  2 Cu 2.84-2.90, 1 Tl 3.13
Ho (0.9060, 0.2957, 0.4777)  2 Cu 2.84-2.90, 1 Tl 3.13
Ho (0.4060, 0.4777, 0.2957)  2 Cu 2.84-2.90, 1 Tl 3.13
Ho (0.0940, 0.7043, 0.5223)  2 Cu 2.84-2.90, 1 Tl 3.13
Tl (0.2500, 0.8282, 0.1718)  8 Ho 3.13-3.50
Tl (0.7500, 0.1718, 0.8282)  8 Ho 3.13-3.50
Tl (0.2500, 0.3282, 0.6718)  8 Ho 3.13-3.50
Tl (0.7500, 0.6718, 0.3282)  8 Ho 3.13-3.50
Cu (0.8832, 0.6932, 0.8069)  7 Ho 2.83-3.06
Cu (0.6168, 0.1931, 0.3068)  7 Ho 2.83-3.06
Cu (0.1168, 0.3068, 0.1931)  7 Ho 2.83-3.06
Cu (0.3832, 0.8069, 0.6932)  7 Ho 2.83-3.06

***

VASP calculation (PBE) on a relaxed Mg2CuW crystal.

Theoretical density in g/cm3: 7.40
Energy above the lowest structure with this stoichiometry in meV/atom: 139
Calculated formation energy in eV per atom: 0.363
Energy in eV/atom: -4.696
Calculated volume in Å³ per atom: 16.61

Lattice parameters (Å, degrees): 5.5780 5.5780 5.1748 62.38 62.38 28.02
Last column: nearest neighbours and their distance in Å.
Element x y z (fractional)
Cu (0.7574, 0.7574, 0.6435)  2 Cu 2.70, 2 W 2.71, 5 Mg 2.78-2.96
Mg (0.0155, 0.0155, 0.0646)  5 Mg 2.70-3.01, 3 Cu 2.82-2.96, 4 W 2.90-2.97
Mg (0.2437, 0.2437, 0.1881)  5 Mg 2.70-3.01, 2 Cu 2.78, 3 W 2.89-2.93
W (0.4833, 0.4833, 0.6038)  2 W 2.70, 2 Cu 2.71, 7 Mg 2.89-2.97

***

VASP calculation (PBE) on a relaxed KNi crystal.

Theoretical density in g/cm3: 3.59
Energy above the lowest structure with this stoichiometry in meV/atom: 478
Calculated formation energy in eV per atom: 0.991
Energy in eV/atom: -2.449
Calculated volume in Å³ per atom: 22.64

Lattice parameters (Å, degrees): 3.0262 3.0262 4.9442 90.00 90.00 90.00
Last column: nearest neighbours and their distance in Å.
Element x y z (fractional)
K (0.0000, 0.0000, 0.0000)  4 K 3.03, 8 Ni 3.27
Ni (0.5000, 0.5000, 0.5000)  4 Ni 3.03, 8 K 3.27

***

VASP calculation (PBE) on a relaxed HgP2Pb crystal.

Theoretical density in g/cm3: 8.86
Energy above the lowest structure with this stoichiometry in meV/atom: 458
Calculated formation energy in eV per atom: 0.582
Energy in eV/atom: -3.126
Calculated volume in Å³ per atom: 22.00

Lattice parameters (Å, degrees): 4.9927 4.9927 4.9927 60.00 60.00 60.00
Last column: nearest neighbours and their distance in Å.
Element x y z (fractional)
Pb (0.5000, 0.5000, 0.5000)  8 P 3.06
P (0.2500, 0.2500, 0.2500)  4 Pb 3.06, 4 Hg 3.06
P (0.7500, 0.7500, 0.7500)  4 Hg 3.06, 4 Pb 3.06
Hg (0.0000, 0.0000, 0.0000)  8 P 3.06

***

VASP calculation (PBE) on a relaxed Na4GeBr6 crystal.

Theoretical density in g/cm3: 3.33
Energy in eV/atom: -3.032
Calculated volume in Å³ per atom: 29.21
Raw formation energy in eV per atom: -1.2198

Lattice parameters (Å, degrees): 8.6334 8.6334 8.6334 88.37 88.37 91.63
Last column: nearest neighbours and their distance in Å.
Element x y z (fractional)
Na (0.3770, 0.1230, 0.2500)  6 Br 3.14-3.27
Na (0.8770, 0.2500, 0.3770)  6 Br 3.14-3.27
Na (0.2500, 0.6230, 0.1230)  6 Br 3.14-3.27
Na (0.2500, 0.2500, 0.7500)  6 Br 3.04
Na (0.7500, 0.7500, 0.2500)  6 Br 3.04
Na (0.7500, 0.3770, 0.8770)  6 Br 3.14-3.27
Na (0.1230, 0.7500, 0.6230)  6 Br 3.14-3.27
Na (0.6230, 0.8770, 0.7500)  6 Br 3.14-3.27
Ge (0.5000, 0.5000, 0.5000)  6 Br 2.79
Ge (0.0000, 0.0000, 0.0000)  6 Br 2.79
Br (0.6890, 0.0509, 0.0741)  1 Ge 2.79, 1 Na 3.04
Br (0.0741, 0.3110, 0.0509)  1 Ge 2.79, 1 Na 3.04
Br (0.5741, 0.4491, 0.1890)  1 Ge 2.79, 1 Na 3.04
Br (0.9491, 0.0741, 0.6890)  1 Ge 2.79, 1 Na 3.04
Br (0.5509, 0.1890, 0.5741)  1 Ge 2.79, 1 Na 3.04
Br (0.1890, 0.4259, 0.4491)  1 Ge 2.79, 1 Na 3.04
Br (0.8110, 0.5741, 0.5509)  1 Ge 2.79, 1 Na 3.04
Br (0.4491, 0.8110, 0.4259)  1 Ge 2.79, 1 Na 3.04
Br (0.0509, 0.9259, 0.3110)  1 Ge 2.79, 1 Na 3.04
Br (0.4259, 0.5509, 0.8110)  1 Ge 2.79, 1 Na 3.04
Br (0.9259, 0.6890, 0.9491)  1 Ge 2.79, 1 Na 3.04
Br (0.3110, 0.9491, 0.9259)  1 Ge 2.79, 1 Na 3.04

***

VASP calculation (PBE) on a relaxed NpTl2Cl5 crystal.

Theoretical density in g/cm3: 5.69
Energy in eV/atom: -4.765
Calculated volume in Å³ per atom: 30.02
Raw formation energy in eV per atom: -1.4019

Lattice parameters (Å, degrees): 8.2558 8.7973 13.2263 90.00 90.00 90.00
Last column: nearest neighbours and their distance in Å.
Element x y z (fractional)
Np (0.4355, 0.2500, 0.5024)  7 Cl 2.76-2.85
Np (0.5645, 0.7500, 0.4976)  7 Cl 2.76-2.85
Np (0.9355, 0.7500, 0.9976)  7 Cl 2.76-2.85
Np (0.0645, 0.2500, 0.0024)  7 Cl 2.76-2.85
Tl (0.4501, 0.5044, 0.8302)  8 Cl 3.26-3.51
Tl (0.5499, 0.4956, 0.1698)  8 Cl 3.26-3.51
Tl (0.9501, 0.4956, 0.6698)  8 Cl 3.26-3.51
Tl (0.5499, 0.0044, 0.1698)  8 Cl 3.26-3.51
Tl (0.0499, 0.5044, 0.3302)  8 Cl 3.26-3.51
Tl (0.4501, 0.9956, 0.8302)  8 Cl 3.26-3.51
Tl (0.0499, 0.9956, 0.3302)  8 Cl 3.26-3.51
Tl (0.9501, 0.0044, 0.6698)  8 Cl 3.26-3.51
Cl (0.0903, 0.2500, 0.5075)  1 Np 2.85
Cl (0.9097, 0.7500, 0.4925)  1 Np 2.85
Cl (0.5903, 0.7500, 0.9925)  1 Np 2.85
Cl (0.4097, 0.2500, 0.0075)  1 Np 2.85
Cl (0.3389, 0.9599, 0.5754)  2 Np 2.82-2.84
Cl (0.6611, 0.0401, 0.4246)  2 Np 2.82-2.84
Cl (0.8389, 0.0401, 0.9246)  2 Np 2.82-2.84
Cl (0.6611, 0.4599, 0.4246)  2 Np 2.82-2.84
Cl (0.1611, 0.9599, 0.0754)  2 Np 2.82-2.84
Cl (0.3389, 0.5401, 0.5754)  2 Np 2.82-2.84
Cl (0.1611, 0.5401, 0.0754)  2 Np 2.82-2.84
Cl (0.8389, 0.4599, 0.9246)  2 Np 2.82-2.84
Cl (0.1579, 0.2500, 0.8012)  1 Np 2.77
Cl (0.8421, 0.7500, 0.1988)  1 Np 2.77
Cl (0.6579, 0.7500, 0.6988)  1 Np 2.77
Cl (0.3421, 0.2500, 0.3012)  1 Np 2.77
Cl (0.6190, 0.2500, 0.6771)  1 Np 2.76
Cl (0.3810, 0.7500, 0.3229)  1 Np 2.76
Cl (0.1190, 0.7500, 0.8229)  1 Np 2.76
Cl (0.8810, 0.2500, 0.1771)  1 Np 2.76

***

VASP calculation (PBE) on a relaxed Pm7Sn4Rh crystal.

Theoretical density in g/cm3: 6.88
Calculated formation energy in eV per atom: -0.457
Energy in eV/atom: -5.175
Calculated volume in Å³ per atom: 32.06

Lattice parameters (Å, degrees): 5.4158 9.4923 8.3170 78.39 71.00 73.42
Last column: nearest neighbours and their distance in Å.
Element x y z (fractional)
Pm (0.7845, 0.8689, 0.5621)  4 Sn 3.11-3.31
Pm (0.2155, 0.1311, 0.4379)  4 Sn 3.11-3.31
Pm (0.0738, 0.7143, 0.1380)  1 Rh 2.69
Pm (0.9262, 0.2857, 0.8620)  1 Rh 2.69
Pm (0.3552, 0.5606, 0.7289)  5 Sn 3.19-3.31
Pm (0.5000, 0.0000, 0.0000)  2 Rh 2.71
Pm (0.6448, 0.4394, 0.2711)  5 Sn 3.19-3.31
Sn (0.5771, 0.2226, 0.6231)  8 Pm 3.20-3.38
Sn (0.4229, 0.7774, 0.3769)  8 Pm 3.20-3.38
Sn (0.7224, 0.6543, 0.9009)  8 Pm 3.11-3.40
Sn (0.2776, 0.3457, 0.0991)  8 Pm 3.11-3.40
Rh (0.0000, 0.0000, 0.0000)  4 Pm 2.69-2.71